This record from Alexandria via LeMat-Bulk describes an optimized crystal structure of Ba3Li2Cd2Sb4. The functional is GGA-PBE.

Unit cell a=4.908 b=4.908 c=17.319 alpha=90.00 beta=90.00 gamma=120.00
Fractional positions:
Ba (0.000, 0.000, 0.000)
Ba (0.000, 0.000, 0.267)
Ba (0.000, 0.000, 0.733)
Li (0.333, 0.667, 0.134)
Li (0.667, 0.333, 0.866)
Cd (0.333, 0.667, 0.564)
Cd (0.667, 0.333, 0.436)
Sb (0.333, 0.667, 0.389)
Sb (0.333, 0.667, 0.867)
Sb (0.667, 0.333, 0.133)
Sb (0.667, 0.333, 0.611)

Output
- VASP energy (eV per atom) = -3.30
- symmetry = P-3m1, No. 164
- formation energy from raw total energies (kJ/mol of atoms) = -74
- D(E_F) (states/eV/f.u.) = 0.641
- total moment (μB per formula unit) = 0.00

---

This record from Alexandria via LeMat-Bulk describes an optimized crystal structure of PrEuRuAu. The functional is GGA-PBE.

Unit cell a=5.122 b=5.122 c=5.122 alpha=60.00 beta=60.00 gamma=60.00
Fractional positions:
Pr (0.000, 0.000, 0.000)
Eu (0.500, 0.500, 0.500)
Ru (0.750, 0.750, 0.750)
Au (0.250, 0.250, 0.250)

Output
- VASP energy (eV per atom) = -7.19
- symmetry = F-43m, No. 216
- ΔE_f (eV/f.u.) = -1.1
- D(E_F) (states/eV/f.u.) = 11.457
- total moment (μB per formula unit) = 6.66

---

This record from Alexandria via LeMat-Bulk describes an optimized crystal structure of Hf2BeRu. The functional is GGA-PBE.

Unit cell a=5.789 b=5.789 c=5.789 alpha=103.33 beta=103.33 gamma=122.60
Fractional positions:
Hf (0.107, 0.625, 0.982)
Hf (0.375, 0.357, 0.482)
Hf (0.643, 0.125, 0.018)
Hf (0.875, 0.893, 0.518)
Be (0.250, 0.750, 0.500)
Be (0.500, 0.500, 0.000)
Ru (0.000, 0.000, 0.000)
Ru (0.750, 0.250, 0.500)

Output
- VASP energy (eV per atom) = -7.94
- symmetry = I-42d, No. 122
- ΔE_f (eV/f.u.) = 1.1
- D(E_F) (states/eV/f.u.) = 2.921
- total moment (μB per formula unit) = 0.00

---

This record from Alexandria via LeMat-Bulk describes an optimized crystal structure of TiHPt2. The functional is GGA-PBE.

Unit cell a=5.170 b=5.170 c=5.170 alpha=103.72 beta=103.72 gamma=121.72
Fractional positions:
Ti (0.000, 0.000, 0.000)
Ti (0.750, 0.250, 0.500)
H (0.250, 0.750, 0.500)
H (0.500, 0.500, 0.000)
Pt (0.220, 0.625, 0.095)
Pt (0.375, 0.470, 0.595)
Pt (0.530, 0.125, 0.905)
Pt (0.875, 0.780, 0.405)

Output
- VASP energy (eV per atom) = -6.21
- symmetry = I-42d, No. 122
- ΔE to the lowest computed polymorph (meV per atom) = 0.0
- D(E_F) (states/eV/f.u.) = 4.981
- total moment (μB per formula unit) = 0.00

---

Question: Which of these has the lowest D(E_F)?
Answer: Ba3Li2Cd2Sb4

---

Question: Which value of VASP energy does entry 2 give?
Answer: -7.19 eV per atom

---

Question: D(E_F) of number 3 (Hf2BeRu)?
Answer: 2.921 states/eV/f.u.